# 1
ZnMoAu2 PBE relaxed; total energy = -4.444 eV/atom
1.0
4.8482 -0.0036 -0.0136
4.0602 2.6495 -0.0136
0.6715 0.1995 5.1917
Zn Mo Au
1 1 2
direct
0.2500 0.2500 0.2500 Zn
0.7500 0.7500 0.7500 Mo
0.4995 0.4995 0.5005 Au
0.0005 0.0005 0.9995 Au

***

# 2
GdErFeAg PBE relaxed; total energy = -7.512 eV/atom
1.0
-4.9065 -0.8341 0.0191
-1.7366 -4.6428 -0.4452
-2.1272 -2.2457 3.8989
Er Ag Fe Gd
1 1 1 1
direct
0.0000 0.0000 0.0000 Er
0.2500 0.2500 0.2500 Ag
0.7500 0.7500 0.7500 Fe
0.5000 0.5000 0.5000 Gd

***

# 3
Ta3Ni8Rh2 PBE relaxed; total energy = -7.502 eV/atom
1.0
4.6485 0.0000 0.0000
2.3242 4.0257 0.0000
2.3242 1.3419 9.3961
Ni Ta Rh
8 3 2
direct
0.7270 0.7270 0.8190 Ni
0.7702 0.2685 0.6928 Ni
0.7315 0.7315 0.3072 Ni
0.7315 0.2298 0.3072 Ni
0.2730 0.2730 0.1810 Ni
0.2298 0.7315 0.3072 Ni
0.2685 0.2685 0.6928 Ni
0.2685 0.7702 0.6928 Ni
0.0000 0.0000 0.0000 Ta
0.8132 0.8132 0.5604 Ta
0.1868 0.1868 0.4396 Ta
0.3592 0.3592 0.9224 Rh
0.6408 0.6408 0.0776 Rh

***

# 4
ScAlRe2 PBE relaxed; total energy = -8.781 eV/atom
1.0
-2.3762 2.3825 -2.9184
-2.2871 -1.2437 0.8469
-1.3912 3.3311 3.8520
Al Re Sc
1 2 1
direct
0.5000 0.7500 0.7500 Al
0.0000 0.0014 0.9908 Re
0.0000 0.4986 0.5092 Re
0.5000 0.2500 0.2500 Sc

***

# 5
LiBRh2 PBE relaxed; total energy = -5.972 eV/atom
1.0
-0.2761 -1.2526 -2.4297
-0.6423 -2.3440 1.2814
-5.7856 1.5173 -0.1247
Li Rh B
1 2 1
direct
0.5000 0.5000 0.0000 Li
0.0000 0.0000 0.2860 Rh
0.0000 0.0000 0.7140 Rh
0.5000 0.5000 0.5000 B

***

# 6
LaPr6Sm3Ho2 PBE relaxed; total energy = -4.727 eV/atom
1.0
-0.6005 1.2068 6.2178
5.6908 -1.5060 -2.4134
0.4952 11.6463 -3.2996
Ho Pr Sm La
2 6 3 1
direct
0.6665 0.3335 0.0000 Ho
0.3335 0.6665 0.0000 Ho
0.4184 0.0838 0.2497 Pr
0.2505 0.2505 0.7502 Pr
0.7495 0.7495 0.2498 Pr
0.0838 0.4184 0.2497 Pr
0.5816 0.9162 0.7503 Pr
0.9162 0.5816 0.7503 Pr
0.5000 0.5000 0.5000 Sm
0.1671 0.8329 0.5000 Sm
0.8329 0.1671 0.5000 Sm
0.0000 0.0000 0.0000 La

***

# 7
SrPIrS2 PBE relaxed; raw formation energy = -0.472 eV per atom; E above lowest polymorph = 0 meV per atom
1.0
-1.1871 3.6352 3.3174
-4.5909 -2.0474 0.6008
1.5247 -2.4658 3.2476
S Sr P Ir
2 1 1 1
direct
0.0000 0.5000 0.0000 S
0.5000 0.0000 0.0000 S
0.5000 0.5000 0.5000 Sr
0.0000 0.0000 0.5000 P
0.0000 0.0000 0.0000 Ir

***

# 8
LaPr6YEr2 PBE relaxed; total energy = -4.810 eV/atom
1.0
-9.0001 0.1501 3.9986
-1.9656 -6.6177 -5.8169
4.1157 -2.2690 7.7076
Pr La Er Y
12 2 4 2
direct
0.1207 0.7046 0.4926 Pr
0.8169 0.4347 0.9827 Pr
0.8793 0.2954 0.5074 Pr
0.5544 0.7606 0.1104 Pr
0.3169 0.9827 0.4347 Pr
0.4456 0.2394 0.8896 Pr
0.3793 0.5074 0.2954 Pr
0.0544 0.1104 0.7606 Pr
0.6207 0.4926 0.7046 Pr
0.6831 0.0173 0.5653 Pr
0.1831 0.5653 0.0173 Pr
0.9456 0.8896 0.2394 Pr
0.2500 0.4062 0.5938 La
0.7500 0.5938 0.4062 La
0.5462 0.1943 0.2912 Er
0.0462 0.2912 0.1943 Er
0.4538 0.8057 0.7088 Er
0.9538 0.7088 0.8057 Er
0.2500 0.9702 0.0298 Y
0.7500 0.0298 0.9702 Y

***

Q: Number 4 is which compound?
A: ScAlRe2